# 1
Below is a geometry-optimized LaScZn structure, with properties calculated at the PBE level.

Summary:
calculated total energy	-4.32	eV/atom
excess energy over the best structure of this formula in the dataset	64.5	meV per atom
energy of formation	-13.4	kJ per mole of atoms

Cell and atoms, written as CIF:
```
data_LaScZn
_chemical_formula_sum 'La2 Sc2 Zn2'
_cell_length_a 5.1429
_cell_length_b 6.1235
_cell_length_c 6.1709
_cell_angle_alpha 96.28
_cell_angle_beta 114.60
_cell_angle_gamma 114.78
_space_group_name_H-M_alt 'P 1'
_space_group_IT_number 1
_space_group_name_Hall 'P 1'
loop_
_atom_site_label
_atom_site_type_symbol
_atom_site_fract_x
_atom_site_fract_y
_atom_site_fract_z
La1 La 0.0000 0.0000 0.0000
La2 La 0.3670 0.0942 0.6401
Sc1 Sc 0.1609 0.5503 0.7708
Sc2 Sc 0.4996 0.6161 0.3816
Zn1 Zn 0.7089 0.1076 0.3107
Zn2 Zn 0.8418 0.5112 0.1703
```

# 2
Below is a geometry-optimized Cd2Cl structure, with properties calculated at the PBE level.

Summary:
calculated total energy	-1.59	eV/atom
ΔE_f (raw)	-0.364	eV per atom

Cell and atoms, written as CIF:
```
data_Cd2Cl
_chemical_formula_sum 'Cd4 Cl2'
_cell_length_a 3.9816
_cell_length_b 3.9816
_cell_length_c 11.4238
_cell_angle_alpha 90.00
_cell_angle_beta 90.00
_cell_angle_gamma 120.00
_space_group_name_H-M_alt 'P 63/m m c'
_space_group_IT_number 194
_space_group_name_Hall '-P 6c 2c'
loop_
_atom_site_label
_atom_site_type_symbol
_atom_site_fract_x
_atom_site_fract_y
_atom_site_fract_z
Cd1 Cd 0.3333 0.6667 0.0768
Cl1 Cl 0.0000 0.0000 0.2500
```

# 3
Below is a geometry-optimized Ti2As2W structure, with properties calculated at the PBE level.

Summary:
calculated total energy	-8.11	eV/atom
energy of formation	-48.1	kJ per mole of atoms

Cell and atoms, written as CIF:
```
data_Ti2As2W
_chemical_formula_sum 'Ti4 As4 W2'
_cell_length_a 6.7596
_cell_length_b 6.7596
_cell_length_c 3.4693
_cell_angle_alpha 90.00
_cell_angle_beta 90.00
_cell_angle_gamma 90.00
_space_group_name_H-M_alt 'P 4/m b m'
_space_group_IT_number 127
_space_group_name_Hall '-P 4 2ab'
loop_
_atom_site_label
_atom_site_type_symbol
_atom_site_fract_x
_atom_site_fract_y
_atom_site_fract_z
Ti1 Ti 0.1531 0.3469 0.0000
As1 As 0.1476 0.6476 0.5000
W1 W 0.0000 0.0000 0.5000
```

# 4
Below is a geometry-optimized Ti3Tc2W structure, with properties calculated at the PBE level.

Summary:
calculated total energy	-9.87	eV/atom
energy of formation	-29.5	kJ per mole of atoms

Cell and atoms, written as CIF:
```
data_Ti3Tc2W
_chemical_formula_sum 'Ti3 Tc2 W1'
_cell_length_a 3.1189
_cell_length_b 3.1189
_cell_length_c 9.4385
_cell_angle_alpha 90.00
_cell_angle_beta 90.00
_cell_angle_gamma 90.00
_space_group_name_H-M_alt 'P 4/m m m'
_space_group_IT_number 123
_space_group_name_Hall '-P 4 2'
loop_
_atom_site_label
_atom_site_type_symbol
_atom_site_fract_x
_atom_site_fract_y
_atom_site_fract_z
Ti1 Ti 0.0000 0.0000 0.0000
Ti2 Ti 0.0000 0.0000 0.3244
Tc1 Tc 0.5000 0.5000 0.1654
W1 W 0.5000 0.5000 0.5000
```

- Which value of calculated total energy does entry 2 give?
  -1.59 eV/atom